PBE-GGA LiEuMg2, optimized geometry; energy relative to the lowest polymorph listed for this composition = 67 meV per atom; space group = Fm-3m; V = 109.0 Å³/cell; Fermi-level density of states = 8.142 states/eV/f.u.; energy of formation = 0.019 eV/atom
1.0
0.0000 3.7917 3.7917
3.7917 0.0000 3.7917
3.7917 3.7917 0.0000
Li Eu Mg
1 1 2
Cartesian
0.0000 0.0000 0.0000 Li
3.7917 3.7917 3.7917 Eu
1.8958 1.8958 1.8958 Mg
5.6875 5.6875 5.6875 Mg



PBE-GGA Ti6In2N, optimized geometry; energy relative to the lowest polymorph listed for this composition = 215 meV per atom; space group = Amm2; V = 148.7 Å³/cell; Fermi-level density of states = 9.285 states/eV/f.u.; energy relative to the elements, uncorrected = -2.8 eV per formula unit
1.0
3.1075 0.0000 0.0000
0.0000 6.4859 3.6894
0.0000 -6.4859 3.6894
Ti In N
6 2 1
Cartesian
0.0000 0.0000 0.0000 Ti
0.0000 -1.3450 4.7690 Ti
0.0000 1.3450 4.7690 Ti
1.5538 -4.2907 3.2075 Ti
1.5538 0.0000 2.6502 Ti
1.5538 4.2907 3.2075 Ti
0.0000 -2.2887 1.9304 In
0.0000 2.2887 1.9304 In
1.5538 0.0000 5.8968 N



PBE-GGA InBr2O, optimized geometry; energy relative to the lowest polymorph listed for this composition = 39 meV per atom; space group = Cm; V = 205.5 Å³/cell; energy relative to the elements, uncorrected = -3.2 eV per formula unit
1.0
7.4541 -1.8288 0.0000
7.4541 1.8288 0.0000
-1.0498 0.0000 7.5391
In Br O
2 4 2
Cartesian
0.0000 0.0000 0.0000 In
9.3886 0.0000 6.2936 In
3.0512 0.0000 4.5971 Br
6.8048 0.0000 4.6020 Br
8.0698 0.0000 2.0166 Br
12.3054 0.0000 0.7378 Br
0.9924 0.0000 6.9728 O
6.0508 0.0000 6.3669 O



PBE-GGA Er5Tm5Th2, optimized geometry; energy relative to the lowest polymorph listed for this composition = 77 meV per atom; space group = C2/m; V = 371.0 Å³/cell; Fermi-level density of states = 21.358 states/eV/f.u.; energy of formation = 0.104 eV/atom
1.0
8.4275 -2.7740 0.0000
8.4275 2.7740 0.0000
-5.5006 0.0000 7.9339
Er Tm Th
5 5 2
Cartesian
0.0000 0.0000 0.0000 Er
-0.3503 0.0000 3.6070 Er
2.8484 0.0000 1.9754 Er
8.5060 0.0000 5.9585 Er
11.7047 0.0000 4.3269 Er
2.4087 0.0000 5.6166 Tm
6.0985 0.0000 0.3354 Tm
5.6772 0.0000 3.9670 Tm
5.2559 0.0000 7.5985 Tm
8.9457 0.0000 2.3173 Tm
-2.2405 0.0000 6.1904 Th
13.5949 0.0000 1.7435 Th



PBE-GGA Ce2AlS4, optimized geometry; space group = P2_1/m; V = 321.1 Å³/cell; Fermi-level density of states = 14.144 states/eV/f.u.; energy relative to the elements, uncorrected = -11.2 eV per formula unit
1.0
6.6532 0.0000 0.0000
0.0000 6.4924 0.0000
-2.2950 0.0000 7.4331
Ce Al S
4 2 8
Cartesian
1.3647 1.6231 0.4202 Ce
0.3464 1.6231 4.1710 Ce
4.0117 4.8693 3.2621 Ce
2.9935 4.8693 7.0128 Ce
-0.2622 4.8693 6.0043 Al
4.6204 1.6231 1.4287 Al
-1.7090 0.0357 5.5442 S
-1.7090 3.2105 5.5442 S
6.0671 3.2819 1.8888 S
6.0671 6.4567 1.8888 S
2.6049 4.8693 0.7303 S
1.4386 4.8693 4.5612 S
2.9196 1.6231 2.8718 S
1.7532 1.6231 6.7028 S



PBE-GGA Rb2GaPbBr5, optimized geometry; space group = Cmc2_1; V = 712.7 Å³/cell; Fermi-level density of states = 0.000 states/eV/f.u.; energy relative to the elements, uncorrected = -10.8 eV per formula unit
1.0
2.3313 -9.8730 0.0000
2.3313 9.8730 0.0000
0.0000 0.0000 15.4813
Rb Ga Pb Br
4 2 2 10
Cartesian
2.3313 8.1501 7.7406 Rb
2.3313 7.2612 2.1965 Rb
2.3313 -7.2612 9.9371 Rb
2.3313 -8.1501 0.0000 Rb
2.3313 0.7984 4.5623 Ga
2.3313 -0.7984 12.3030 Ga
2.3313 5.4311 13.4726 Pb
2.3313 -5.4311 5.7320 Pb
2.3313 8.3561 14.1405 Br
2.3313 4.6932 7.8283 Br
2.3313 3.9537 3.7597 Br
2.3313 2.4264 12.8758 Br
2.3313 0.0164 9.5140 Br
2.3313 -0.0164 1.7734 Br
2.3313 -2.4264 5.1352 Br
2.3313 -3.9537 11.5004 Br
2.3313 -4.6932 0.0877 Br
2.3313 -8.3561 6.3999 Br



PBE-GGA FeNiAg, optimized geometry; energy relative to the lowest polymorph listed for this composition = 23 meV per atom; space group = Imm2; V = 41.1 Å³/cell; Fermi-level density of states = 2.486 states/eV/f.u.; energy of formation = 0.232 eV/atom
1.0
-1.3639 1.7215 4.3808
1.3639 -1.7215 4.3808
1.3639 1.7215 -4.3808
Fe Ni Ag
1 1 1
Cartesian
0.0000 0.0000 0.0000 Fe
0.0000 0.0000 5.5065 Ni
0.0000 0.0000 2.7389 Ag



PBE-GGA Y2FeCl, optimized geometry; energy relative to the lowest polymorph listed for this composition = 0 meV per atom; space group = Pmmm; V = 90.9 Å³/cell; Fermi-level density of states = 2.356 states/eV/f.u.; energy relative to the elements, uncorrected = -2.6 eV per formula unit
1.0
3.3384 0.0000 0.0000
0.0000 3.4057 0.0000
0.0000 0.0000 7.9939
Y Fe Cl
2 1 1
Cartesian
0.0000 0.0000 1.6249 Y
0.0000 0.0000 6.3690 Y
1.6692 1.7029 0.0000 Fe
1.6692 0.0000 3.9970 Cl



PBE-GGA MnCd2Co, optimized geometry; energy relative to the lowest polymorph listed for this composition = 168 meV per atom; space group = F-43m; V = 66.2 Å³/cell; Fermi-level density of states = 2.108 states/eV/f.u.; energy of formation = 0.318 eV/atom
1.0
0.0000 3.2104 3.2104
3.2104 0.0000 3.2104
3.2104 3.2104 0.0000
Mn Cd Co
1 2 1
Cartesian
0.0000 0.0000 0.0000 Mn
1.6052 1.6052 1.6052 Cd
3.2104 3.2104 3.2104 Cd
4.8156 4.8156 4.8156 Co



PBE-GGA NaLa2Pd2, optimized geometry; energy relative to the lowest polymorph listed for this composition = 0 meV per atom; space group = P4/mbm; V = 264.0 Å³/cell; Fermi-level density of states = 3.706 states/eV/f.u.; energy of formation = -0.595 eV/atom
1.0
8.1887 0.0000 0.0000
0.0000 8.1887 0.0000
0.0000 0.0000 3.9367
Na La Pd
2 4 4
Cartesian
0.0000 0.0000 0.0000 Na
4.0944 4.0944 0.0000 Na
1.3257 2.7687 1.9684 La
2.7687 6.8630 1.9684 La
5.4200 1.3257 1.9684 La
6.8630 5.4200 1.9684 La
1.0742 5.1686 0.0000 Pd
3.0201 1.0742 0.0000 Pd
5.1686 7.1145 0.0000 Pd
7.1145 3.0201 0.0000 Pd



PBE-GGA SmUPN2, optimized geometry; space group = I4mm; V = 85.6 Å³/cell; Fermi-level density of states = 0.304 states/eV/f.u.; energy relative to the elements, uncorrected = -6.3 eV per formula unit
1.0
-1.8950 1.8950 5.9622
1.8950 -1.8950 5.9622
1.8950 1.8950 -5.9622
Sm U P N
1 1 1 2
Cartesian
0.0000 0.0000 0.0000 Sm
0.0000 0.0000 3.5787 U
0.0000 0.0000 7.8631 P
1.8950 0.0000 4.5705 N
0.0000 1.8950 4.5705 N



PBE-GGA Pm2GaPt, optimized geometry; space group = P4/mmm; V = 96.0 Å³/cell; Fermi-level density of states = 2.157 states/eV/f.u.; energy of formation = -0.812 eV/atom
1.0
3.6292 0.0000 0.0000
0.0000 3.6292 0.0000
0.0000 0.0000 7.2917
Pm Ga Pt
2 1 1
Cartesian
0.0000 0.0000 1.7328 Pm
0.0000 0.0000 5.5589 Pm
1.8146 1.8146 3.6459 Ga
1.8146 1.8146 0.0000 Pt



PBE-GGA NbPRu2, optimized geometry; space group = Cmcm; V = 115.5 Å³/cell; Fermi-level density of states = 1.762 states/eV/f.u.; energy of formation = -0.576 eV/atom
1.0
1.8733 -4.5828 0.0000
1.8733 4.5828 0.0000
0.0000 0.0000 6.7290
Nb P Ru
2 2 4
Cartesian
1.8733 4.0697 5.0468 Nb
1.8733 -4.0697 1.6823 Nb
1.8733 2.5285 1.6823 P
1.8733 -2.5285 5.0468 P
1.8733 1.2806 3.6582 Ru
1.8733 1.2806 6.4354 Ru
1.8733 -1.2806 0.2937 Ru
1.8733 -1.2806 3.0709 Ru



PBE-GGA La2PrCu3, optimized geometry; space group = Cmmm; V = 290.7 Å³/cell; Fermi-level density of states = 5.437 states/eV/f.u.; energy of formation = -0.128 eV/atom
1.0
2.5920 -7.7530 0.0000
2.5920 7.7530 0.0000
0.0000 0.0000 7.2323
La Pr Cu
4 2 6
Cartesian
0.0000 0.0000 0.0000 La
0.0000 0.0000 3.6162 La
2.5920 2.5799 0.0000 La
2.5920 -2.5799 0.0000 La
2.5920 2.5865 3.6162 Pr
2.5920 -2.5865 3.6162 Pr
2.5920 5.1551 1.8436 Cu
2.5920 5.1551 5.3887 Cu
2.5920 0.0000 1.8328 Cu
2.5920 0.0000 5.3996 Cu
2.5920 -5.1551 1.8436 Cu
2.5920 -5.1551 5.3887 Cu



PBE-GGA TlGeAsS2, optimized geometry; space group = P4/mmm; V = 137.1 Å³/cell; Fermi-level density of states = 4.696 states/eV/f.u.; energy relative to the elements, uncorrected = 4.7 eV per formula unit
1.0
5.0838 0.0000 0.0000
0.0000 5.0838 0.0000
0.0000 0.0000 5.3047
Tl Ge As S
1 1 1 2
Cartesian
0.0000 0.0000 0.0000 Tl
2.5419 2.5419 2.6524 Ge
0.0000 0.0000 2.6524 As
0.0000 2.5419 0.0000 S
2.5419 0.0000 0.0000 S



PBE-GGA Zn5IrAu4, optimized geometry; space group = P4/mmm; V = 157.7 Å³/cell; Fermi-level density of states = 2.476 states/eV/f.u.; energy of formation = -0.197 eV/atom
1.0
3.0944 0.0000 0.0000
0.0000 3.0944 0.0000
0.0000 0.0000 16.4729
Zn Ir Au
5 1 4
Cartesian
0.0000 0.0000 0.0000 Zn
0.0000 0.0000 3.3869 Zn
0.0000 0.0000 6.7848 Zn
0.0000 0.0000 9.6880 Zn
0.0000 0.0000 13.0859 Zn
1.5472 1.5472 8.2364 Ir
1.5472 1.5472 1.6873 Au
1.5472 1.5472 5.0636 Au
1.5472 1.5472 11.4093 Au
1.5472 1.5472 14.7856 Au



PBE-GGA Sr2ZnHg2, optimized geometry; energy relative to the lowest polymorph listed for this composition = 0 meV per atom; space group = C2/m; V = 300.0 Å³/cell; Fermi-level density of states = 3.497 states/eV/f.u.; energy of formation = -0.421 eV/atom
1.0
5.9837 -2.3065 0.0000
5.9837 2.3065 0.0000
-5.3301 0.0000 10.8698
Sr Zn Hg
4 2 4
Cartesian
-1.6975 0.0000 3.6966 Sr
1.6696 0.0000 1.2262 Sr
4.9676 0.0000 9.6436 Sr
8.3347 0.0000 7.1732 Sr
-0.0709 0.0000 7.1551 Zn
6.7081 0.0000 3.7147 Zn
1.8320 0.0000 4.6944 Hg
5.0733 0.0000 1.2883 Hg
1.5639 0.0000 9.5815 Hg
4.8052 0.0000 6.1754 Hg



PBE-GGA Ac5YZn4, optimized geometry; space group = P4/mmm; V = 317.9 Å³/cell; Fermi-level density of states = 11.152 states/eV/f.u.; energy of formation = -0.183 eV/atom
1.0
3.9106 0.0000 0.0000
0.0000 3.9106 0.0000
0.0000 0.0000 20.7866
Ac Y Zn
5 1 4
Cartesian
0.0000 0.0000 0.0000 Ac
0.0000 0.0000 3.9111 Ac
0.0000 0.0000 7.7936 Ac
0.0000 0.0000 12.9930 Ac
0.0000 0.0000 16.8755 Ac
1.9553 1.9553 10.3933 Y
1.9553 1.9553 1.9504 Zn
1.9553 1.9553 5.8852 Zn
1.9553 1.9553 14.9014 Zn
1.9553 1.9553 18.8363 Zn



PBE-GGA BaLaCl2, optimized geometry; energy relative to the lowest polymorph listed for this composition = 299 meV per atom; space group = Fm-3m; V = 107.8 Å³/cell; Fermi-level density of states = 3.582 states/eV/f.u.; energy relative to the elements, uncorrected = -5.2 eV per formula unit
1.0
0.0000 3.7771 3.7771
3.7771 0.0000 3.7771
3.7771 3.7771 0.0000
Ba La Cl
1 1 2
Cartesian
0.0000 0.0000 0.0000 Ba
3.7771 3.7771 3.7771 La
1.8885 1.8885 1.8885 Cl
5.6656 5.6656 5.6656 Cl



PBE-GGA ZnTc2Te, optimized geometry; energy relative to the lowest polymorph listed for this composition = 533 meV per atom; space group = Cmmm; V = 68.8 Å³/cell; Fermi-level density of states = 4.445 states/eV/f.u.; energy relative to the elements, uncorrected = 2.8 eV per formula unit
1.0
1.5934 -2.5740 0.0000
1.5934 2.5740 0.0000
0.0000 0.0000 8.3864
Zn Tc Te
1 2 1
Cartesian
0.0000 0.0000 0.0000 Zn
1.5934 0.0000 2.0988 Tc
1.5934 0.0000 6.2876 Tc
0.0000 0.0000 4.1932 Te



PBE-GGA Cd2CuBr2, optimized geometry; energy relative to the lowest polymorph listed for this composition = 184 meV per atom; space group = I4/mmm; V = 132.6 Å³/cell; Fermi-level density of states = 1.209 states/eV/f.u.; energy relative to the elements, uncorrected = 0.7 eV per formula unit
1.0
-1.9376 1.9376 8.8322
1.9376 -1.9376 8.8322
1.9376 1.9376 -8.8322
Cd Cu Br
2 1 2
Cartesian
1.9376 0.0000 4.4161 Cd
0.0000 1.9376 4.4161 Cd
0.0000 0.0000 0.0000 Cu
0.0000 0.0000 7.1952 Br
0.0000 0.0000 10.4692 Br



PBE-GGA MnCo2P, optimized geometry; space group = R3m; V = 43.8 Å³/cell; Fermi-level density of states = 2.550 states/eV/f.u.; energy of formation = -0.010 eV/atom
1.0
1.2992 0.7501 7.4970
-1.2992 0.7501 7.4970
0.0000 -1.5002 7.4970
Mn Co P
1 2 1
Cartesian
0.0000 0.0000 0.0000 Mn
0.0000 0.0000 11.5356 Co
0.0000 0.0000 16.9664 Co
0.0000 0.0000 5.7242 P



PBE-GGA Zn3PCl, optimized geometry; energy relative to the lowest polymorph listed for this composition = 765 meV per atom; space group = Pm-3m; V = 109.6 Å³/cell; Fermi-level density of states = 1.165 states/eV/f.u.; energy relative to the elements, uncorrected = 3.8 eV per formula unit
1.0
4.7861 0.0000 0.0000
0.0000 4.7861 0.0000
0.0000 0.0000 4.7861
Zn P Cl
3 1 1
Cartesian
0.0000 0.0000 2.3930 Zn
0.0000 2.3930 0.0000 Zn
2.3930 0.0000 0.0000 Zn
2.3930 2.3930 2.3930 P
0.0000 0.0000 0.0000 Cl



PBE-GGA Rb2BaIn2, optimized geometry; energy relative to the lowest polymorph listed for this composition = 0 meV per atom; space group = I4/mmm; V = 241.0 Å³/cell; Fermi-level density of states = 6.573 states/eV/f.u.; energy of formation = -0.006 eV/atom
1.0
-2.6835 2.6835 8.3669
2.6835 -2.6835 8.3669
2.6835 2.6835 -8.3669
Rb Ba In
2 1 2
Cartesian
2.6835 0.0000 4.1834 Rb
0.0000 2.6835 4.1834 Rb
0.0000 0.0000 0.0000 Ba
0.0000 0.0000 6.9519 In
0.0000 0.0000 9.7819 In



PBE-GGA CaAl2Cd, optimized geometry; space group = C2/m; V = 96.4 Å³/cell; Fermi-level density of states = 1.449 states/eV/f.u.; energy of formation = -0.001 eV/atom
1.0
4.4038 -1.7510 0.0000
4.4038 1.7510 0.0000
-1.2786 0.0000 6.2494
Ca Al Cd
1 2 1
Cartesian
0.0000 0.0000 0.0000 Ca
1.2623 0.0000 4.2868 Al
6.2667 0.0000 1.9626 Al
3.7645 0.0000 3.1247 Cd